[1]
This record from Alexandria describes an optimized crystal structure of AcPr3In2. The functional is PBE.

Cell: 9.1222 9.1222 9.3662 Å, 115.28 115.28 35.77°
Positions (direct):
Ac (0.1273, 0.1273, 0.1791)
Ac (0.8727, 0.8727, 0.8209)
Pr (0.0628, 0.0628, 0.7138)
Pr (0.3026, 0.3026, 0.0038)
Pr (0.3812, 0.3812, 0.4626)
Pr (0.6188, 0.6188, 0.5374)
Pr (0.6974, 0.6974, 0.9962)
Pr (0.9372, 0.9372, 0.2862)
In (0.2288, 0.2288, 0.6021)
In (0.4937, 0.4937, 0.8390)
In (0.5063, 0.5063, 0.1610)
In (0.7712, 0.7712, 0.3979)

Computed properties:
DOS at the Fermi energy: 12.3 states/eV/cell
Distance to the lowest polymorph of the same formula: 0.060 eV/atom
Formation enthalpy at 0 K: -1.5 eV/f.u.
DFT total energy: -0.1557 Ha/atom

***

[2]
This record from Alexandria describes an optimized crystal structure of AcPr3In2. The functional is PBE.

Cell: 3.7546 3.7546 14.0183 Å, 90.00 90.00 90.00°
Positions (direct):
Ac (0.0000, 0.0000, 0.0000)
Pr (0.5000, 0.5000, 0.1970)
Pr (0.5000, 0.5000, 0.5000)
Pr (0.5000, 0.5000, 0.8030)
In (0.0000, 0.0000, 0.3461)
In (0.0000, 0.0000, 0.6539)

Computed properties:
DOS at the Fermi energy: 5.1 states/eV/cell
Distance to the lowest polymorph of the same formula: 0.000 eV/atom
Formation enthalpy at 0 K: -1.9 eV/f.u.
DFT total energy: -0.1580 Ha/atom

***

[3]
This record from Alexandria describes an optimized crystal structure of Ac5PrIn6. The functional is PBE.

Cell: 9.7528 9.7528 5.9168 Å, 100.31 100.31 46.94°
Positions (direct):
Ac (0.0000, 0.0000, 0.0000)
Ac (0.1625, 0.1625, 0.6702)
Ac (0.3259, 0.3259, 0.3139)
Ac (0.6741, 0.6741, 0.6861)
Ac (0.8375, 0.8375, 0.3298)
Pr (0.5000, 0.5000, 0.0000)
In (0.1027, 0.5753, 0.8218)
In (0.2748, 0.7252, 0.5000)
In (0.4247, 0.8973, 0.1782)
In (0.5753, 0.1027, 0.8218)
In (0.7252, 0.2748, 0.5000)
In (0.8973, 0.4247, 0.1782)

Computed properties:
DOS at the Fermi energy: 9.6 states/eV/cell
Formation enthalpy at 0 K: -5.1 eV/f.u.
DFT total energy: -0.1435 Ha/atom

***

[4]
This record from Alexandria describes an optimized crystal structure of AcPr6In4. The functional is PBE.

Cell: 8.3301 8.3301 8.3301 Å, 121.83 121.83 86.86°
Positions (direct):
Ac (0.0000, 0.0000, 0.0000)
Pr (0.0000, 0.5000, 0.5000)
Pr (0.0922, 0.4721, 0.0000)
Pr (0.4721, 0.0922, 0.0000)
Pr (0.5000, 0.0000, 0.5000)
Pr (0.5279, 0.5279, 0.6202)
Pr (0.9078, 0.9078, 0.3798)
In (0.2773, 0.2773, 0.6837)
In (0.4064, 0.7227, 0.0000)
In (0.5936, 0.5936, 0.3163)
In (0.7227, 0.4064, 0.0000)

Computed properties:
DOS at the Fermi energy: 13.1 states/eV/cell
Formation enthalpy at 0 K: -2.1 eV/f.u.
DFT total energy: -0.1531 Ha/atom

***

[5]
This record from Alexandria describes an optimized crystal structure of Ac2PrIn. The functional is PBE.

Cell: 3.9407 3.9407 9.7839 Å, 90.00 90.00 90.00°
Positions (direct):
Ac (0.0000, 0.0000, 0.2243)
Ac (0.0000, 0.0000, 0.7757)
Pr (0.5000, 0.5000, 0.5000)
In (0.5000, 0.5000, 0.0000)

Computed properties:
DOS at the Fermi energy: 4.7 states/eV/cell
Distance to the lowest polymorph of the same formula: 0.024 eV/atom
Formation enthalpy at 0 K: -0.7 eV/f.u.
DFT total energy: -0.1509 Ha/atom

***

[6]
This record from Alexandria describes an optimized crystal structure of Ac4PrIn. The functional is PBE.

Cell: 7.1390 7.1390 7.1390 Å, 60.00 60.00 60.00°
Positions (direct):
Ac (0.1247, 0.1247, 0.1247)
Ac (0.1247, 0.1247, 0.6258)
Ac (0.1247, 0.6258, 0.1247)
Ac (0.6258, 0.1247, 0.1247)
Pr (0.5000, 0.5000, 0.5000)
In (0.7500, 0.7500, 0.7500)

Computed properties:
DOS at the Fermi energy: 7.9 states/eV/cell
Distance to the lowest polymorph of the same formula: 0.425 eV/atom
Formation enthalpy at 0 K: 1.8 eV/f.u.
DFT total energy: -0.1354 Ha/atom

***

[7]
This record from Alexandria describes an optimized crystal structure of AcPr6In. The functional is PBE.

Cell: 5.1344 5.1344 10.5697 Å, 90.00 90.00 90.00°
Positions (direct):
Ac (0.0000, 0.0000, 0.0000)
Pr (0.0000, 0.5000, 0.2636)
Pr (0.0000, 0.5000, 0.7364)
Pr (0.5000, 0.0000, 0.2636)
Pr (0.5000, 0.0000, 0.7364)
Pr (0.5000, 0.5000, 0.0000)
Pr (0.5000, 0.5000, 0.5000)
In (0.0000, 0.0000, 0.5000)

Computed properties:
DOS at the Fermi energy: 10.0 states/eV/cell
Formation enthalpy at 0 K: -0.8 eV/f.u.
DFT total energy: -0.1671 Ha/atom

***

[8]
This record from Alexandria describes an optimized crystal structure of AcPr2In2. The functional is PBE.

Cell: 7.2460 5.3550 9.4757 Å, 90.00 112.44 90.00°
Positions (direct):
Ac (0.0911, 0.2500, 0.1818)
Ac (0.9089, 0.7500, 0.8182)
Pr (0.2691, 0.7500, 0.5384)
Pr (0.4526, 0.7500, 0.9063)
Pr (0.5474, 0.2500, 0.0937)
Pr (0.7309, 0.2500, 0.4616)
In (0.1646, 0.2500, 0.7443)
In (0.4208, 0.7500, 0.2560)
In (0.5792, 0.2500, 0.7440)
In (0.8354, 0.7500, 0.2557)

Computed properties:
DOS at the Fermi energy: 8.3 states/eV/cell
Distance to the lowest polymorph of the same formula: 0.000 eV/atom
Formation enthalpy at 0 K: -1.5 eV/f.u.
DFT total energy: -0.1519 Ha/atom

***

[9]
This record from Alexandria describes an optimized crystal structure of AcPr2In2. The functional is PBE.

Cell: 12.5312 12.5312 3.7046 Å, 90.00 90.00 163.25°
Positions (direct):
Ac (0.0000, 0.0000, 0.0000)
Pr (0.1839, 0.8161, 0.0000)
Pr (0.8161, 0.1839, 0.0000)
In (0.4014, 0.5986, 0.5000)
In (0.5986, 0.4014, 0.5000)

Computed properties:
DOS at the Fermi energy: 6.6 states/eV/cell
Distance to the lowest polymorph of the same formula: 0.042 eV/atom
Formation enthalpy at 0 K: -1.3 eV/f.u.
DFT total energy: -0.1504 Ha/atom

***

[10]
This record from Alexandria describes an optimized crystal structure of AcPrIn. The functional is PBE.

Cell: 5.5024 5.5024 3.9965 Å, 90.00 90.00 120.00°
Positions (direct):
Ac (0.0000, 0.0000, 0.0000)
Pr (0.6667, 0.3333, 0.5703)
In (0.3333, 0.6667, 0.3769)

Computed properties:
DOS at the Fermi energy: 2.5 states/eV/cell
Distance to the lowest polymorph of the same formula: 0.089 eV/atom
Formation enthalpy at 0 K: -0.6 eV/f.u.
DFT total energy: -0.1502 Ha/atom

***

[11]
This record from Alexandria describes an optimized crystal structure of AcPr15In4. The functional is PBE.

Cell: 5.0508 5.0508 25.8226 Å, 90.00 90.00 90.00°
Positions (direct):
Ac (0.0000, 0.0000, 0.0000)
Pr (0.0000, 0.5000, 0.1097)
Pr (0.0000, 0.5000, 0.3053)
Pr (0.0000, 0.5000, 0.5000)
Pr (0.0000, 0.5000, 0.6947)
Pr (0.0000, 0.5000, 0.8903)
Pr (0.5000, 0.0000, 0.1097)
Pr (0.5000, 0.0000, 0.3053)
Pr (0.5000, 0.0000, 0.5000)
Pr (0.5000, 0.0000, 0.6947)
Pr (0.5000, 0.0000, 0.8903)
Pr (0.5000, 0.5000, 0.0000)
Pr (0.5000, 0.5000, 0.2089)
Pr (0.5000, 0.5000, 0.4023)
Pr (0.5000, 0.5000, 0.5977)
Pr (0.5000, 0.5000, 0.7911)
In (0.0000, 0.0000, 0.2078)
In (0.0000, 0.0000, 0.4029)
In (0.0000, 0.0000, 0.5971)
In (0.0000, 0.0000, 0.7922)

Computed properties:
DOS at the Fermi energy: 29.4 states/eV/cell
Formation enthalpy at 0 K: -4.1 eV/f.u.
DFT total energy: -0.1670 Ha/atom

***

[12]
This record from Alexandria describes an optimized crystal structure of Ac3PrIn. The functional is PBE.

Cell: 6.8063 7.5167 8.6746 Å, 103.51 98.16 112.00°
Positions (direct):
Ac (0.0000, 0.0000, 0.0000)
Ac (0.0596, 0.5360, 0.0087)
Ac (0.2039, 0.9065, 0.4341)
Ac (0.2682, 0.4447, 0.4436)
Ac (0.4632, 0.3523, 0.8295)
Ac (0.8009, 0.0910, 0.6133)
Pr (0.6307, 0.7233, 0.2200)
Pr (0.6337, 0.2234, 0.2220)
In (0.4141, 0.8482, 0.8293)
In (0.8530, 0.5960, 0.6152)

Computed properties:
DOS at the Fermi energy: 12.9 states/eV/cell
Distance to the lowest polymorph of the same formula: 0.044 eV/atom
Formation enthalpy at 0 K: -0.4 eV/f.u.
DFT total energy: -0.1491 Ha/atom